1.
Tb3TmTh2Bi6 | GGA-PBE | relaxed

a = 4.5284 Å, b = 9.0297 Å, c = 10.1046 Å
α = 102.90°, β = 102.95°, γ = 90.00°
Fractional coordinates of all 12 atoms:
Tb1 0.5000 0.5000 0.0000
Tb2 0.8320 0.1661 0.6640
Tb3 0.1680 0.8339 0.3360
Tm1 0.5000 0.0000 0.0000
Th1 0.8354 0.6693 0.6708
Th2 0.1646 0.3307 0.3292
Bi1 0.3352 0.9239 0.6704
Bi2 0.6654 0.5876 0.3309
Bi3 0.6648 0.0761 0.3296
Bi4 0.9970 0.2453 0.9940
Bi5 0.0030 0.7547 0.0060
Bi6 0.3346 0.4124 0.6691

**SG**: C2/m
**Energy of formation**: -0.759 eV per atom

2.
Ba3Ni5Se12 | GGA-PBE | relaxed

a = 13.7728 Å, b = 13.7728 Å, c = 13.7728 Å
α = 109.47°, β = 109.47°, γ = 109.47°
Fractional coordinates of all 80 atoms:
Ba1 0.7500 0.3750 0.1250
Ba2 0.8750 0.7500 0.1250
Ba3 0.3750 0.7500 0.6250
Ba4 0.2500 0.1250 0.3750
Ba5 0.8750 0.1250 0.2500
Ba6 0.3750 0.6250 0.2500
Ba7 0.6250 0.3750 0.7500
Ba8 0.1250 0.8750 0.7500
Ba9 0.7500 0.8750 0.6250
Ba10 0.6250 0.2500 0.3750
Ba11 0.1250 0.2500 0.8750
Ba12 0.2500 0.6250 0.8750
Ni1 0.1250 0.3750 0.2500
Ni2 0.0000 0.5000 0.0000
Ni3 0.0000 0.0000 0.0000
Ni4 0.3750 0.2500 0.1250
Ni5 0.5000 0.0000 0.5000
Ni6 0.5000 0.5000 0.0000
Ni7 0.1250 0.7500 0.3750
Ni8 0.7500 0.1250 0.8750
Ni9 0.7500 0.6250 0.3750
Ni10 0.3750 0.1250 0.7500
Ni11 0.6250 0.8750 0.2500
Ni12 0.5000 0.5000 0.5000
Ni13 0.5000 0.0000 0.0000
Ni14 0.0000 0.0000 0.5000
Ni15 0.2500 0.3750 0.6250
Ni16 0.2500 0.8750 0.1250
Ni17 0.0000 0.5000 0.5000
Ni18 0.8750 0.2500 0.6250
Ni19 0.6250 0.7500 0.8750
Ni20 0.8750 0.6250 0.7500
Se1 0.6884 0.0969 0.0050
Se2 0.3165 0.5050 0.4081
Se3 0.9950 0.4031 0.3116
Se4 0.5050 0.1884 0.0969
Se5 0.5916 0.6884 0.6835
Se6 0.9950 0.5919 0.1835
Se7 0.3165 0.8116 0.4084
Se8 0.0919 0.9084 0.0969
Se9 0.5919 0.9950 0.6835
Se10 0.6884 0.5916 0.1835
Se11 0.8116 0.4950 0.4031
Se12 0.8165 0.9081 0.0050
Se13 0.0969 0.6884 0.5050
Se14 0.4031 0.4081 0.0916
Se15 0.0916 0.9081 0.4031
Se16 0.4084 0.0969 0.5919
Se17 0.0916 0.1835 0.1884
Se18 0.4950 0.6835 0.0919
Se19 0.8165 0.9084 0.3116
Se20 0.0969 0.4084 0.0919
Se21 0.4031 0.9950 0.8116
Se22 0.5919 0.5969 0.4084
Se23 0.9081 0.8165 0.5050
Se24 0.8116 0.3165 0.9084
Se25 0.4081 0.4031 0.5916
Se26 0.0919 0.1835 0.4950
Se27 0.1884 0.6835 0.0916
Se28 0.1835 0.0916 0.6884
Se29 0.5969 0.0050 0.1884
Se30 0.9031 0.5916 0.9081
Se31 0.5050 0.3165 0.9081
Se32 0.5916 0.9031 0.4081
Se33 0.9084 0.8165 0.8116
Se34 0.9084 0.0919 0.5969
Se35 0.9031 0.3116 0.4950
Se36 0.1835 0.0919 0.9950
Se37 0.5969 0.5919 0.9084
Se38 0.4081 0.0050 0.3165
Se39 0.3116 0.4084 0.8165
Se40 0.1884 0.5050 0.5969
Se41 0.9081 0.0916 0.9031
Se42 0.6835 0.1884 0.5916
Se43 0.4950 0.8116 0.9031
Se44 0.0050 0.4081 0.8165
Se45 0.4084 0.3116 0.3165
Se46 0.0050 0.5969 0.6884
Se47 0.6835 0.4950 0.5919
Se48 0.3116 0.9031 0.9950

**E_form (uncorrected)**: -545 meV/atom
**SG**: Ia-3d